Record 1
Ho4MgIn, optimized geometry, DFT PBE; Fermi-level density of states = 1.426 states/eV per atom; E = -3.596 eV/atom; space-group type = R-3m (166)
1.0
5.155 0.000 0.000
2.577 4.457 0.256
2.577 0.997 8.586
Ho Mg In
4 1 1
Direct
0.625 0.625 0.126 Ho
0.125 0.125 0.626 Ho
0.875 0.875 0.374 Ho
0.375 0.375 0.874 Ho
0.000 0.000 0.000 Mg
0.500 0.500 0.500 In



Record 2
Ba2Sr5Au4, optimized geometry, DFT PBE; Fermi-level density of states = 0.604 states/eV per atom; E = -2.888 eV/atom; space-group type = C2/m (12)
1.0
4.412 0.000 -0.945
-1.062 9.879 -4.957
-0.122 -1.244 10.198
Au Sr Ba
4 5 2
Direct
0.888 0.021 0.775 Au
0.659 0.566 0.318 Au
0.112 0.979 0.225 Au
0.341 0.434 0.682 Au
0.500 0.000 0.000 Sr
0.844 0.643 0.689 Sr
0.248 0.828 0.496 Sr
0.752 0.172 0.504 Sr
0.156 0.357 0.311 Sr
0.455 0.293 0.909 Ba
0.545 0.707 0.091 Ba



Record 3
NdInI4, optimized geometry, DFT PBE; space-group type = C2/m (12); energy relative to the elements, uncorrected = -1.088 eV per atom
1.0
-3.685 2.584 1.149
-2.273 -7.588 0.402
3.241 1.059 8.016
I In Nd
4 1 1
Direct
0.119 0.239 0.327 I
0.382 0.763 0.109 I
0.618 0.237 0.891 I
0.881 0.761 0.673 I
0.500 0.000 0.500 In
0.000 0.000 0.000 Nd



Record 4
Os2BrCl, optimized geometry, DFT PBE; Fermi-level density of states = 1.069 states/eV per atom; space-group type = P2/m (10); energy relative to the elements, uncorrected = 1.318 eV per atom; distance to the lowest polymorph of the same formula = 1060 meV/atom
1.0
4.331 0.000 0.000
0.000 2.986 0.004
0.000 -0.643 5.283
Br Cl Os
1 1 2
Direct
0.500 0.250 0.250 Br
0.500 0.750 0.750 Cl
0.000 0.454 0.544 Os
0.000 0.046 0.956 Os